1.
Ac2In3SnRh4 | PBE | relaxed

a = 4.669 Å, b = 4.669 Å, c = 10.672 Å
α = 90.00°, β = 90.00°, γ = 90.00°
Space group P-4m2 (No. 115)
Inequivalent atoms, fractional coordinates:
1 Ac 0.000 0.500 0.232 [2 per cell]
2 In 0.000 0.500 0.876 [2 per cell]
3 In 0.500 0.500 0.500 [1 per cell]
4 Sn 0.000 0.000 0.500 [1 per cell]
5 Rh 0.000 0.000 0.000 [1 per cell]
6 Rh 0.000 0.500 0.627 [2 per cell]
7 Rh 0.500 0.500 0.000 [1 per cell]

Output
ΔH_f (0 K) = -0.59 eV per atom

---

2.
LiNbRe3 | PBE | relaxed

a = 4.192 Å, b = 4.192 Å, c = 4.192 Å
α = 90.00°, β = 90.00°, γ = 90.00°
Space group Pm-3m (No. 221)
Inequivalent atoms, fractional coordinates:
1 Li 0.000 0.000 0.000 [1 per cell]
2 Nb 0.500 0.500 0.500 [1 per cell]
3 Re 0.000 0.000 0.500 [3 per cell]

Output
ΔH_f (0 K) = 1.06 eV per atom
Energy above the lowest structure with this stoichiometry = 0.0000 eV per atom

---

3.
KLaP | PBE | relaxed

a = 3.936 Å, b = 3.936 Å, c = 14.940 Å
α = 90.00°, β = 90.00°, γ = 90.00°
Space group I4mm (No. 107)
Inequivalent atoms, fractional coordinates:
1 K 0.000 0.000 0.000 [2 per cell]
2 La 0.000 0.000 0.764 [2 per cell]
3 P 0.000 0.000 0.323 [2 per cell]

Output
ΔH_f (0 K) = -0.65 eV per atom

---

4.
Mg2NbH2 | PBE | relaxed

a = 3.724 Å, b = 3.724 Å, c = 10.041 Å
α = 90.00°, β = 90.00°, γ = 90.00°
Space group I4/mmm (No. 139)
Inequivalent atoms, fractional coordinates:
1 Mg 0.000 0.500 0.250 [4 per cell]
2 Nb 0.000 0.000 0.000 [2 per cell]
3 H 0.000 0.000 0.455 [4 per cell]

Output
Energy above the lowest structure with this stoichiometry = 0.5776 eV per atom

---

5.
Pr3DyTh4S8 | PBE | relaxed

a = 8.0282 Å, b = 8.0282 Å, c = 20.1520 Å
α = 90.00°, β = 90.00°, γ = 120.00°
Space group R-3m (No. 166, hexagonal axes)
Inequivalent atoms, fractional coordinates:
1 Pr 0.0000 0.5000 0.0000 [9 per cell]
2 Dy 0.0000 0.0000 0.0000 [3 per cell]
3 Th 0.0000 0.0000 0.5000 [3 per cell]
4 Th 0.0000 0.5000 0.5000 [9 per cell]
5 S 0.0000 0.0000 0.2492 [6 per cell]
6 S 0.0080 0.5040 0.7488 [18 per cell]

Output
ΔE_f (raw) = -2958 kJ/mol of formula units

---

6.
CdCoCl2 | PBE | relaxed

a = 7.036 Å, b = 7.036 Å, c = 9.256 Å
α = 90.00°, β = 90.00°, γ = 90.00°
Space group I-42d (No. 122)
Inequivalent atoms, fractional coordinates:
1 Cd 0.000 0.000 0.000 [4 per cell]
2 Co 0.000 0.000 0.500 [4 per cell]
3 Cl 0.122 0.250 0.625 [8 per cell]

Output
ΔE_f (raw) = -82 kJ/mol of formula units
Energy above the lowest structure with this stoichiometry = 0.1432 eV per atom

---

Number 1: D(E_F) 6.6 states/eV/cell. Number 2: D(E_F) 5.0 states/eV/cell. Number 3: D(E_F) 2.6 states/eV/cell. Number 4: D(E_F) 7.3 states/eV/cell. Number 5: D(E_F) 17.8 states/eV/cell. Number 6: D(E_F) 12.3 states/eV/cell.